[1]
Crystalline Ho3Np2Ru4 at its relaxed geometry, computed with PBE.

Lattice parameters (Å, degrees): 10.6813 4.2157 8.8141 90.00 99.82 90.00
Last column: nearest neighbours and their distance in Å.
Space group C2/m (No. 12)
Unique sites:
Ho 0.0000 0.0000 0.0000 [2 per cell]  6 Ru 3.14-3.26
Ho 0.1248 0.5000 0.3886 [4 per cell]  6 Ru 2.93-3.09, 1 Np 3.27
Np 0.1725 0.5000 0.7812 [4 per cell]  5 Ru 2.55-2.72
Ru 0.0897 0.0000 0.6338 [4 per cell]  2 Np 2.55, 1 Ru 2.77
Ru 0.2175 0.5000 0.0942 [4 per cell]  3 Np 2.57-2.72, 2 Ru 2.84

Properties
The value obtained for the calculated formation energy is -0.29 eV per atom.


[2]
Crystalline PrEr8Sc2 at its relaxed geometry, computed with PBE.

Lattice parameters (Å, degrees): 5.8122 7.0086 16.7512 90.00 90.00 90.00
Last column: nearest neighbours and their distance in Å.
Space group Immm (No. 71)
Unique sites:
Pr 0.0000 0.0000 0.0000 [2 per cell]  6 Er 3.39-3.77
Er 0.0000 0.0000 0.2025 [4 per cell]  6 Er 3.32-3.52, 1 Pr 3.39, 4 Sc 3.45-3.51
Er 0.0000 0.2690 0.3658 [8 per cell]  6 Er 3.24-3.52, 3 Sc 3.41-3.57
Er 0.2410 0.5000 0.0000 [4 per cell]  2 Er 2.80-3.01
Sc 0.0000 0.5000 0.1869 [4 per cell]  12 Er 3.41-3.57

Properties
The value obtained for the calculated formation energy is 0.17 eV per atom. Its energy above the most stable polymorph in this dataset is 136 kJ/mol of formula units.